Below is KNaOs after structural relaxation, with properties calculated at the GGA-PBE level.

Cell lengths 5.134, 5.134, 5.134 Å; angles 60.00, 60.00, 60.00 degrees
Element x y z (fractional)
K 0.000 0.000 0.000
Na 0.250 0.250 0.250
Os 0.750 0.750 0.750

**Distance to the lowest polymorph of the same formula**: 0.1866 eV/atom
**ρ**: 4.38 g/cm³
**Total moment**: 0.699 μB/atom
**E_tot**: -7.69 eV/cell